No. 1
DFT (PBE) results for a geometry-optimized YSi3Ir5 structure.

Values from the calculation:
**ρ**: 12.6 g cm⁻³
**M_tot**: 0.0 Bohr magnetons per cell
**SG**: No. 63
**Formation energy (no corrections)**: -5.8 eV per formula unit
**Uncorrected energy**: -8.094 eV/atom
**D(E_F)**: 4.97 states/eV/f.u.

a = 6.483 Å, b = 6.483 Å, c = 12.378 Å
α = 90.00°, β = 90.00°, γ = 145.00°
Sites, in units of the cell vectors:
Y1 0.155 0.845 0.750
Y2 0.845 0.155 0.250
Si1 0.124 0.876 0.250
Si2 0.386 0.614 0.042
Si3 0.386 0.614 0.458
Si4 0.614 0.386 0.542
Si5 0.614 0.386 0.958
Si6 0.876 0.124 0.750
Ir1 0.000 0.000 0.000
Ir2 0.000 0.000 0.500
Ir3 0.205 0.795 0.075
Ir4 0.205 0.795 0.425
Ir5 0.448 0.552 0.647
Ir6 0.448 0.552 0.853
Ir7 0.552 0.448 0.147
Ir8 0.552 0.448 0.353
Ir9 0.795 0.205 0.575
Ir10 0.795 0.205 0.925

=====

No. 2
DFT (PBE) results for a geometry-optimized ErTaN structure.

Values from the calculation:
**ρ**: 11.4 g cm⁻³
**M_tot**: 0.7 Bohr magnetons per cell
**SG**: No. 129
**Formation energy (no corrections)**: -0.5 eV per formula unit
**Uncorrected energy**: -8.406 eV/atom
**D(E_F)**: 2.02 states/eV/f.u.

a = 3.613 Å, b = 3.613 Å, c = 8.065 Å
α = 90.00°, β = 90.00°, γ = 90.00°
Sites, in units of the cell vectors:
Er1 0.250 0.250 0.162
Er2 0.750 0.750 0.838
Ta1 0.250 0.750 0.500
Ta2 0.750 0.250 0.500
N1 0.250 0.250 0.686
N2 0.750 0.750 0.314

=====

> Among the records above, which one has the lowest D(E_F)?

ErTaN

=====

> Which formula does entry 1 have?

YSi3Ir5